Computed, not measured: La4Pm4Th after structural relaxation at the PBE level of DFT.

Cell: 11.0080 11.0080 5.2269 Å, 90.00 90.00 90.00°
Space group I4/mmm (No. 139)
Symmetry-distinct sites (fractional):
La (0.1605, 0.1605, 0.0000) (multiplicity 8)
Pm (0.0000, 0.3302, 0.5000) (multiplicity 8)
Th (0.0000, 0.0000, 0.5000) (multiplicity 2)

Results
Total DFT energy (no corrections) = -91.76 eV for the cell shown
Calculated volume = 633.38 Å³/cell